4
Lattice="-0.808 -3.752 -0.363 4.872 -1.076 0.281 1.076 -0.698 4.830" Properties=species:S:1:pos:R:3 comment="BeTe2As GGA-PBE relaxed" formation_energy_uncorrected_kj_per_mol_atoms=27 crystal_system=orthorhombic dos_ef_per_ev_cell=1.70 relative_energy_mev_per_atom=232 magmom_total_mub_per_fu=0.0 spacegroup=Cmmm pbc="T T T"
Be 4.057 -3.207 3.652
As 1.083 -2.320 1.096
Te 3.124 -0.932 2.685
Te 5.797 -1.730 4.982